## Mn2Tl5F12 (PBE+U)

Data for an optimized crystal structure of Mn2Tl5F12.

abc: 6.428 7.974 8.645
angles: 105.19 90.00 113.77
Fractional positions:
F 0.118 0.736 0.927
F 0.082 0.664 0.427
F 0.918 0.336 0.573
F 0.382 0.264 0.073
F 0.882 0.264 0.073
F 0.996 0.992 0.150
F 0.496 0.992 0.149
F 0.004 0.008 0.850
F 0.418 0.336 0.573
F 0.582 0.664 0.427
F 0.618 0.736 0.927
F 0.504 0.008 0.851
Mn 0.247 0.000 0.000
Mn 0.753 0.000 0.000
Tl 0.299 0.598 0.170
Tl 0.303 0.606 0.626
Tl 0.701 0.402 0.830
Tl 0.697 0.394 0.374
Tl 0.000 0.000 0.500

Output
DOS(E_F) = 5.0 states/eV/f.u.
symmetry = C2/m, No. 12
M_tot = 7.68 μB/f.u.
uncorrected energy = -4.65 eV/atom